# 1
Fe2Si2Pd | Alexandria via LeMat-Bulk | GGA-PBE | optimized geometry; total DFT energy (no corrections) = -34.783 eV/f.u.; formation energy from raw total energies = -0.364 eV/atom
1.0
6.702 0.000 0.000
0.000 6.702 0.000
0.000 0.000 2.673
Si Fe Pd
4 4 2
Direct
0.353 0.853 0.000
0.853 0.647 0.000
0.647 0.147 0.000
0.147 0.353 0.000
0.147 0.647 0.500
0.647 0.853 0.500
0.853 0.353 0.500
0.353 0.147 0.500
0.000 0.000 0.000
0.500 0.500 0.000

# 2
FeSiPd3 | Alexandria via LeMat-Bulk | GGA-PBE | optimized geometry; total DFT energy (no corrections) = -27.985 eV/f.u.; formation energy from raw total energies = 0.296 eV/atom; distance to the lowest polymorph of the same formula = 0 meV/atom
1.0
4.473 0.000 0.000
0.000 4.473 0.000
0.000 0.000 4.473
Si Fe Pd
1 1 3
Direct
0.000 0.000 0.000
0.500 0.500 0.500
0.000 0.500 0.000
0.000 0.000 0.500
0.500 0.000 0.000

# 3
Fe2SiPd | Alexandria via LeMat-Bulk | GGA-PBE | optimized geometry; total DFT energy (no corrections) = -26.964 eV/f.u.; formation energy from raw total energies = 0.144 eV/atom
1.0
3.550 0.000 0.000
0.000 3.550 0.000
1.775 1.775 8.839
Si Fe Pd
2 4 2
Direct
0.500 0.500 0.000
0.250 0.750 0.500
0.597 0.125 0.250
0.153 0.625 0.250
0.375 0.403 0.750
0.875 0.847 0.750
0.000 0.000 0.000
0.750 0.250 0.500

# 4
FeSi2Pd | Alexandria via LeMat-Bulk | GGA-PBE | optimized geometry; total DFT energy (no corrections) = -25.657 eV/f.u.; formation energy from raw total energies = -0.289 eV/atom; distance to the lowest polymorph of the same formula = 0 meV/atom
1.0
3.697 0.000 0.000
1.848 3.201 0.000
1.848 1.067 4.618
Fe Si Pd
1 2 1
Direct
0.683 0.683 0.952
0.062 0.062 0.813
0.264 0.264 0.208
0.491 0.491 0.526